1.
BeCoRe after structural relaxation, computed with PBE.

It has space group I4mm (No. 107), with a = 2.679 Å, b = 2.679 Å, c = 9.164 Å, α = 90.00°, β = 90.00° and γ = 90.00°. The inequivalent atoms are Be at (0.000, 0.000, 0.000), Co at (0.000, 0.000, 0.366) and Re at (0.000, 0.000, 0.680).

For the electronic total energy, the calculation gives -47.41 eV/cell. Its energy of formation is -0.1409 eV per atom. Its excess energy over the best structure of this formula in the dataset is 125 meV/atom.

***

2.
BeCo4Re after structural relaxation, computed with PBE.

It has space group F-43m (No. 216), with a = 6.444 Å, b = 6.444 Å, c = 6.444 Å, α = 90.00°, β = 90.00° and γ = 90.00°. The inequivalent atoms are Be at (0.000, 0.000, 0.000), Co at (0.126, 0.126, 0.374) and Re at (0.250, 0.250, 0.750).

For the electronic total energy, the calculation gives -173.12 eV/cell. Its energy of formation is 0.2197 eV per atom.

***

3.
BeCoRe after structural relaxation, computed with PBE.

It has space group Cmcm (No. 63), with a = 2.662 Å, b = 13.691 Å, c = 3.649 Å, α = 90.00°, β = 90.00° and γ = 90.00°. The inequivalent atoms are Be at (0.000, 0.040, 0.250), Co at (0.000, 0.204, 0.250) and Re at (0.000, 0.386, 0.250).

For the electronic total energy, the calculation gives -93.43 eV/cell. Its energy of formation is -0.0254 eV per atom. Its excess energy over the best structure of this formula in the dataset is 241 meV/atom.

***

4.
Be4Co5Re after structural relaxation, computed with PBE.

It has space group P4/mmm (No. 123), with a = 2.622 Å, b = 2.622 Å, c = 13.886 Å, α = 90.00°, β = 90.00° and γ = 90.00°. The inequivalent atoms are Be at (0.000, 0.000, 0.093), Be at (0.000, 0.000, 0.276), Co at (0.500, 0.500, 0.000), Co at (0.500, 0.500, 0.185), Co at (0.500, 0.500, 0.373) and Re at (0.000, 0.000, 0.500).

For the electronic total energy, the calculation gives -65.47 eV/cell. Its energy of formation is -0.2585 eV per atom.

***

5.
BeCoRe after structural relaxation, computed with PBE.

It has space group P6_3/mmc (No. 194), with a = 3.8011 Å, b = 3.8011 Å, c = 9.0378 Å, α = 90.00°, β = 90.00° and γ = 120.00°. The inequivalent atoms are Be at (0.3333, 0.6667, 0.2500), Co at (0.0000, 0.0000, 0.0000) and Re at (0.0000, 0.0000, 0.2500).

For the electronic total energy, the calculation gives -33.80 eV/cell. Its energy of formation is 2.1271 eV per atom. Its excess energy over the best structure of this formula in the dataset is 2393 meV/atom.

***

6.
BeCoRe after structural relaxation, computed with PBE.

It has space group Imma (No. 74), with a = 4.468 Å, b = 4.620 Å, c = 6.235 Å, α = 90.00°, β = 90.00° and γ = 90.00°. The inequivalent atoms are Be at (0.250, 0.250, 0.250), Co at (0.000, 0.000, 0.000) and Re at (0.000, 0.250, 0.621).

For the electronic total energy, the calculation gives -96.31 eV/cell. Its energy of formation is -0.2660 eV per atom. Its excess energy over the best structure of this formula in the dataset is 0 meV/atom.